(1)
16
Lattice="8.533 0.000 0.000 0.000 9.348 0.565 -4.267 -4.266 6.033" Properties=species:S:1:pos:R:3 comment="GGA-PBE Ac8Co3PdCl4, relaxed" energy_ev_per_atom=-5.113 magmom_total_mub_per_atom=0.000 vol_a3_per_cell=502 e_form_raw_kj_per_mol_atoms=-90.7 dos_at_fermi_per_ev_atom=0.46 pbc="T T T"
Cl 2.133 -2.133 3.016
Cl 0.000 0.000 0.000
Cl 4.267 0.000 0.000
Cl -2.133 -2.133 3.016
Ac 0.000 4.499 3.294
Ac -2.050 2.449 6.193
Ac 4.267 0.583 3.305
Ac 2.217 2.632 0.405
Ac 0.000 0.532 3.386
Ac 4.267 4.549 3.212
Ac 6.316 2.632 0.405
Ac 2.050 2.449 6.193
Pd 0.000 4.674 0.283
Co -2.133 2.541 3.299
Co 4.267 4.674 0.283
Co 2.133 2.541 3.299

***

(2)
14
Lattice="-2.568 -2.877 -2.684 1.277 -8.048 3.293 -6.223 -3.050 5.112" Properties=species:S:1:pos:R:3 comment="GGA-PBE La3Ga3Au8, relaxed" energy_ev_per_atom=-4.256 magmom_total_mub_per_atom=0.000 vol_a3_per_cell=302 dos_at_fermi_per_ev_atom=0.53 pbc="T T T"
Ga -0.510 -3.604 0.239
Ga -2.473 -5.549 4.203
Ga -7.004 -10.371 5.482
Au -3.762 -10.528 2.549
Au -3.751 -3.447 3.172
Au -6.984 -8.518 3.478
Au -5.113 -6.155 3.266
Au -2.532 -2.072 0.532
Au -0.529 -5.457 2.244
Au -4.982 -11.903 5.190
Au -2.401 -7.820 2.456
La 0.000 0.000 0.000
La -3.393 -5.225 0.623
La -4.121 -8.750 5.099

***

(3)
8
Lattice="4.256 0.000 0.000 0.000 4.256 0.000 2.128 2.128 8.990" Properties=species:S:1:pos:R:3 comment="GGA-PBE ScIr2Pb, relaxed" energy_ev_per_atom=-6.739 magmom_total_mub_per_atom=0.000 vol_a3_per_cell=163 dos_at_fermi_per_ev_atom=0.98 pbc="T T T"
Ir 5.320 5.115 6.742
Ir 3.192 3.398 6.742
Ir 2.986 1.064 2.247
Ir 1.270 3.192 2.247
Sc 2.128 4.256 4.495
Sc 2.128 2.128 0.000
Pb 4.256 2.128 4.495
Pb 0.000 0.000 0.000

***

(4)
15
Lattice="5.147 0.000 2.972 1.716 4.853 2.972 0.000 0.000 5.944" Properties=species:S:1:pos:R:3 comment="GGA-PBE Mg6SiO8, relaxed" energy_ev_per_atom=-6.364 magmom_total_mub_per_atom=0.000 vol_a3_per_cell=148 e_form_raw_kj_per_mol_atoms=-262.4 dos_at_fermi_per_ev_atom=0.00 pbc="T T T"
O 1.501 1.061 5.944
O 5.362 3.792 5.944
O 1.716 1.213 2.972
O 2.466 3.792 4.272
O 4.397 1.061 4.272
O 4.397 1.061 7.616
O 5.147 3.640 8.916
O 2.466 3.792 7.616
Mg 0.858 2.427 4.458
Mg 0.858 2.427 1.486
Mg 3.432 2.427 2.972
Mg 0.000 0.000 2.972
Mg 2.574 0.000 1.486
Mg 2.574 0.000 4.458
Si 0.000 0.000 0.000

***

(5)
10
Lattice="-3.588 -2.603 -1.011 2.778 -3.157 -1.730 0.623 -4.278 8.808" Properties=species:S:1:pos:R:3 comment="GGA-PBE La2ZnAs4Pt3, relaxed" energy_ev_per_atom=-5.668 magmom_total_mub_per_atom=0.000 vol_a3_per_cell=203 dos_at_fermi_per_ev_atom=0.32 pbc="T T T"
As 0.000 0.000 0.000
As -1.402 -3.992 5.034
As -0.405 -2.880 -1.370
As 1.620 -3.166 2.404
Pt -1.244 -5.083 7.280
Pt 0.311 -2.139 4.404
Pt 1.461 -2.075 0.157
La 1.857 -4.799 5.766
La -1.640 -2.359 1.672
Zn -0.094 -5.019 3.034

***

(6)
4
Lattice="-2.572 -3.241 1.880 -1.102 -3.701 -2.396 1.830 -4.022 1.062" Properties=species:S:1:pos:R:3 comment="GGA-PBE ZnInAgRu, relaxed" energy_ev_per_atom=-3.936 magmom_total_mub_per_atom=0.000 vol_a3_per_cell=66 dos_at_fermi_per_ev_atom=0.80 pbc="T T T"
Zn -0.461 -2.741 0.136
Ag -0.922 -5.482 0.273
In -1.383 -8.224 0.409
Ru 0.000 0.000 0.000

***

(7)
4
Lattice="-2.939 -0.010 -0.112 0.093 -1.865 -2.273 -0.177 -6.384 5.231" Properties=species:S:1:pos:R:3 comment="GGA-PBE NaGa2Rh, relaxed" energy_ev_per_atom=-4.003 magmom_total_mub_per_atom=0.000 vol_a3_per_cell=71 dos_at_fermi_per_ev_atom=0.43 pbc="T T T"
Ga -0.141 -5.103 4.181
Ga -0.035 -1.281 1.049
Rh -1.423 -0.938 -1.192
Na -1.511 -4.130 1.423

***

(8)
16
Lattice="7.276 0.000 4.168 2.445 6.854 4.168 0.029 0.020 8.385" Properties=species:S:1:pos:R:3 comment="GGA-PBE Th5Pa3As8, relaxed" energy_ev_per_atom=-7.687 magmom_total_mub_per_atom=0.000 vol_a3_per_cell=417 dos_at_fermi_per_ev_atom=0.75 pbc="T T T"
As 6.055 1.661 6.300
As 7.298 5.145 8.419
As 7.351 5.182 12.474
As 2.399 1.692 4.247
As 2.452 1.729 8.302
As 3.695 5.213 10.421
As 6.151 1.729 10.421
As 3.599 5.145 6.300
Th 4.860 3.427 4.168
Th 3.638 0.000 2.084
Th 1.222 3.427 2.084
Th 0.000 0.000 0.000
Th 4.875 3.437 8.360
Pa 0.015 0.010 4.192
Pa 3.653 0.010 6.276
Pa 1.237 3.437 6.276

***

(9)
6
Lattice="4.969 -1.136 0.626 1.418 -4.820 1.064 2.461 -2.793 -3.538" Properties=species:S:1:pos:R:3 comment="GGA-PBE TlCu4Se, relaxed" energy_ev_per_atom=-3.512 magmom_total_mub_per_atom=0.000 vol_a3_per_cell=96 e_form_raw_kj_per_mol_atoms=18.7 dos_at_fermi_per_ev_atom=0.45 pbc="T T T"
Tl 0.000 0.000 0.000
Cu 3.319 -3.282 -0.693
Cu 5.802 -3.849 -0.380
Cu 4.549 -4.677 -2.461
Cu 4.028 -5.690 -0.161
Se 6.636 -6.562 -1.386

***

(10)
3
Lattice="-0.423 0.167 3.608 -0.205 -3.628 0.143 6.966 1.386 -1.079" Properties=species:S:1:pos:R:3 comment="GGA-PBE PaTeCl, relaxed" energy_ev_per_atom=-5.893 magmom_total_mub_per_atom=0.508 vol_a3_per_cell=89 e_form_raw_kj_per_mol_atoms=-102.8 dos_at_fermi_per_ev_atom=0.93 pbc="T T T"
Cl 3.873 -0.201 0.464
Te 0.494 -0.026 0.059
Pa 1.971 -1.849 2.149

***

(11)
12
Lattice="5.035 0.000 0.000 -2.518 4.361 0.000 0.000 0.000 13.130" Properties=species:S:1:pos:R:3 comment="GGA-PBE Li2SmMg3, relaxed" energy_ev_per_atom=-2.223 magmom_total_mub_per_atom=0.000 vol_a3_per_cell=288 dos_at_fermi_per_ev_atom=1.02 pbc="T T T"
Sm 0.000 0.000 9.848
Sm 0.000 0.000 3.283
Li 2.518 1.454 1.423
Li 0.000 2.907 7.988
Li 0.000 2.907 11.707
Li 2.518 1.454 5.142
Mg 0.000 0.000 0.000
Mg 0.000 0.000 6.565
Mg 2.518 1.454 8.147
Mg 2.518 1.454 11.549
Mg 0.000 2.907 1.582
Mg 0.000 2.907 4.983

***

(12)
12
Lattice="-0.691 -5.708 0.239 4.781 -0.320 6.173 -7.092 3.883 2.969" Properties=species:S:1:pos:R:3 comment="GGA-PBE Tb4GaSn, relaxed" energy_ev_per_atom=-4.546 magmom_total_mub_per_atom=0.000 vol_a3_per_cell=352 dos_at_fermi_per_ev_atom=1.12 pbc="T T T"
Tb 0.438 -0.633 4.931
Tb 0.607 -3.658 3.341
Tb -1.765 1.074 1.780
Tb -3.440 -1.513 4.450
Tb -3.609 1.512 6.039
Tb 3.194 -2.198 6.360
Tb -6.196 0.053 3.020
Tb -1.237 -3.219 7.601
Ga -1.156 1.781 4.571
Ga -3.891 -0.912 1.604
Sn 1.101 -0.860 1.576
Sn 2.989 -5.169 4.836